Below is crystalline ZrTiO at its relaxed geometry, with properties calculated at the GGA-PBE level.

For the energy above the lowest structure with this stoichiometry, the calculation gives 348 meV/atom. The calculation puts the uncorrected formation energy at -1.394 eV/atom.

```
6
Lattice="-1.859 4.864 -2.565 2.472 -0.007 -1.805 -3.314 -4.347 -1.925" Properties=species:S:1:pos:R:3 pbc="T T T"
O -2.453 -0.826 -3.356
O -0.247 1.336 -2.939
Ti -0.321 3.491 -3.048
Ti -2.380 -2.981 -3.247
Zr -2.485 1.493 -3.409
Zr -0.216 -0.983 -2.886
```


Below is crystalline Tb2Pr3Ho8 at its relaxed geometry, with properties calculated at the GGA-PBE level.

For the energy above the lowest structure with this stoichiometry, the calculation gives 0 meV/atom.

```
13
Lattice="5.020 0.565 0.218 -0.955 7.554 2.448 -2.673 -2.737 10.003" Properties=species:S:1:pos:R:3 pbc="T T T"
Pr 0.000 0.000 0.000
Pr 1.834 5.327 2.597
Pr -0.441 0.055 10.073
Ho -1.002 5.074 9.985
Ho 1.789 2.852 10.131
Ho -0.613 2.571 7.522
Ho 2.180 0.339 7.629
Ho 2.394 0.309 2.685
Ho -0.396 2.531 2.539
Ho 2.006 2.812 5.148
Ho -0.787 5.043 5.041
Tb -0.223 0.028 5.056
Tb 1.615 5.355 7.614
```


Below is crystalline RbAl3Ag at its relaxed geometry, with properties calculated at the GGA-PBE level.

For the energy above the lowest structure with this stoichiometry, the calculation gives 1309 meV/atom.

```
5
Lattice="5.981 0.000 0.000 0.000 5.981 0.000 0.000 0.000 5.981" Properties=species:S:1:pos:R:3 pbc="T T T"
Al 2.990 0.000 0.000
Al 0.000 2.990 0.000
Al 0.000 0.000 2.990
Ag 2.990 2.990 2.990
Rb 0.000 0.000 0.000
```


Below is crystalline Na4Cd4Pt at its relaxed geometry, with properties calculated at the GGA-PBE level.

The electronic total energy comes out at -16.16 eV/cell.

```
9
Lattice="-0.521 -4.168 5.096 5.575 -1.395 -1.323 1.939 0.621 7.608" Properties=species:S:1:pos:R:3 pbc="T T T"
Cd 4.222 -4.569 6.242
Cd 4.969 -1.618 6.856
Cd 2.772 -0.373 5.139
Cd 2.024 -3.324 4.525
Na 1.579 -1.293 2.145
Na 5.143 -2.563 3.804
Na 1.851 -2.379 7.576
Na 5.414 -3.649 9.235
Pt 0.000 0.000 0.000
```


Below is crystalline Na2SnBiSe at its relaxed geometry, with properties calculated at the GGA-PBE level.

The calculation puts the uncorrected formation energy at 0.116 eV/atom.

```
5
Lattice="-1.595 -4.111 -3.733 5.472 -1.388 -0.810 -0.324 -3.808 4.332" Properties=species:S:1:pos:R:3 pbc="T T T"
Bi 0.000 0.000 0.000
Na -0.162 -1.904 2.166
Na -0.798 -2.055 -1.866
Sn 2.736 -0.694 -0.405
Se 1.776 -4.653 -0.105
```


Below is crystalline La4Pr3Dy5 at its relaxed geometry, with properties calculated at the GGA-PBE level.

The electronic total energy comes out at -54.59 eV/cell.

```
12
Lattice="6.089 0.000 0.000 3.044 7.734 -2.697 3.044 -0.897 9.326" Properties=species:S:1:pos:R:3 pbc="T T T"
La 3.044 -0.264 5.643
La 9.133 7.101 0.987
La 6.089 1.698 -0.102
La 6.089 5.138 6.731
Dy 6.089 3.418 3.315
Dy 3.044 3.425 -0.158
Dy 9.133 6.569 4.941
Dy 3.044 0.268 1.689
Dy 9.133 3.412 6.788
Pr 3.044 3.418 3.315
Pr 6.089 1.735 6.006
Pr 6.089 5.102 0.623
```


Below is crystalline AsOsPd2F at its relaxed geometry, with properties calculated at the GGA-PBE level.

The calculation puts the uncorrected formation energy at 0.805 eV/atom.

```
5
Lattice="4.536 0.000 0.000 0.000 3.952 0.000 0.000 0.000 4.536" Properties=species:S:1:pos:R:3 pbc="T T T"
Os 0.000 1.976 0.000
F 0.000 0.000 0.000
As 2.268 1.976 2.268
Pd 0.000 0.000 2.268
Pd 2.268 0.000 0.000
```


Below is crystalline AcIn2Pd4Pb at its relaxed geometry, with properties calculated at the GGA-PBE level.

The electronic total energy comes out at -38.09 eV/cell.

```
8
Lattice="4.656 0.000 0.000 2.328 4.032 0.000 2.328 1.344 9.505" Properties=species:S:1:pos:R:3 pbc="T T T"
In 6.984 4.032 7.009
In 2.328 1.344 2.496
Pd 4.656 2.688 7.660
Pd 6.984 4.032 3.328
Pd 2.328 1.344 6.177
Pd 4.656 2.688 1.845
Ac 0.000 0.000 0.000
Pb 4.656 2.688 4.752
```


Below is crystalline K2ErMgF6 at its relaxed geometry, with properties calculated at the GGA-PBE level.

The calculation puts the uncorrected formation energy at -3.171 eV/atom.

```
20
Lattice="6.436 0.000 0.000 0.000 5.793 0.000 0.000 0.000 8.591" Properties=species:S:1:pos:R:3 pbc="T T T"
F 1.824 2.967 0.000
F 5.039 0.066 4.296
F 0.000 4.344 2.203
F 5.042 2.826 4.296
F 3.218 1.449 6.498
F 1.821 5.727 0.000
F 0.000 4.344 6.388
F 4.616 5.727 0.000
F 1.397 0.066 4.296
F 4.613 2.967 0.000
F 1.395 2.826 4.296
F 3.218 1.449 2.093
Er 3.218 1.450 4.296
Er 0.000 4.343 0.000
K 0.000 1.446 6.298
K 3.218 4.347 2.002
K 3.218 4.347 6.589
K 0.000 1.446 2.293
Mg 3.218 1.450 0.000
Mg 0.000 4.343 4.296
```


Below is crystalline Na2TlSb2 at its relaxed geometry, with properties calculated at the GGA-PBE level.

For the energy above the lowest structure with this stoichiometry, the calculation gives 26 meV/atom. The calculation puts the uncorrected formation energy at -0.194 eV/atom.

```
10
Lattice="-0.377 -8.273 4.737 9.502 -0.711 -0.486 0.260 1.577 2.774" Properties=species:S:1:pos:R:3 pbc="T T T"
Na 5.592 -7.697 3.850
Na 0.936 -5.244 2.893
Na 3.533 -1.288 0.401
Na 8.189 -3.740 1.359
Sb 7.731 -5.370 4.175
Sb 6.462 -1.125 1.881
Sb 1.654 -2.038 2.850
Sb 2.922 -6.283 5.144
Tl 4.562 -4.492 2.126
Tl 0.000 0.000 0.000
```


Below is crystalline Ho8Er2Pu at its relaxed geometry, with properties calculated at the GGA-PBE level.

For the energy above the lowest structure with this stoichiometry, the calculation gives 0 meV/atom.

```
11
Lattice="-1.642 -2.808 -4.400 7.301 -2.584 -1.076 -4.388 -3.632 7.358" Properties=species:S:1:pos:R:3 pbc="T T T"
Er 3.033 -3.796 1.291
Er -1.763 -5.227 0.592
Ho -3.961 -7.172 2.653
Ho 1.795 -6.896 0.329
Ho -2.694 -4.072 3.604
Ho 0.854 -3.851 -1.264
Ho 5.232 -1.852 -0.771
Ho 0.417 -5.173 3.146
Ho -0.524 -2.128 1.554
Ho 3.965 -4.952 -1.722
Pu -0.821 -1.404 -2.200
```


Below is crystalline NpAsS at its relaxed geometry, with properties calculated at the GGA-PBE level.

The calculation puts the uncorrected formation energy at -0.611 eV/atom.

```
3
Lattice="-2.635 -0.072 2.643 2.596 -0.774 2.568 0.624 4.852 -1.882" Properties=species:S:1:pos:R:3 pbc="T T T"
Np 0.191 1.113 2.856
S 0.363 2.659 0.434
As 0.032 0.235 0.038
```


Below is crystalline YCuBr2 at its relaxed geometry, with properties calculated at the GGA-PBE level.

For the energy above the lowest structure with this stoichiometry, the calculation gives 335 meV/atom. The calculation puts the uncorrected formation energy at -0.581 eV/atom.

```
4
Lattice="-1.481 1.778 2.849 2.768 -1.117 2.137 3.436 5.438 -1.607" Properties=species:S:1:pos:R:3 pbc="T T T"
Br 1.749 2.769 -0.818
Br 3.404 5.389 -1.593
Y 3.220 4.409 1.287
Cu 1.502 1.690 2.091
```


Below is crystalline TmTiZnRu at its relaxed geometry, with properties calculated at the GGA-PBE level.

The electronic total energy comes out at -24.13 eV/cell.

```
4
Lattice="4.635 0.000 0.000 2.318 4.014 0.000 2.318 1.338 3.785" Properties=species:S:1:pos:R:3 pbc="T T T"
Ti 2.318 1.338 0.946
Zn 0.000 0.000 0.000
Ru 4.635 2.676 1.892
Tm 6.953 4.014 2.839
```


Below is crystalline Tb2NdTmBi4 at its relaxed geometry, with properties calculated at the GGA-PBE level.

The electronic total energy comes out at -40.95 eV/cell.

```
8
Lattice="4.512 0.000 0.000 0.000 7.809 -0.154 0.000 2.748 7.306" Properties=species:S:1:pos:R:3 pbc="T T T"
Nd 2.256 6.653 7.230
Tb 2.256 1.374 3.653
Tb 0.000 2.748 7.306
Tm 0.000 5.279 3.576
Bi 4.512 2.629 1.837
Bi 0.000 7.928 5.315
Bi 2.256 6.557 1.751
Bi 2.256 4.001 5.401
```


Below is crystalline Cr2CoMo at its relaxed geometry, with properties calculated at the GGA-PBE level.

The electronic total energy comes out at -36.64 eV/cell.

```
4
Lattice="4.105 0.000 0.000 0.000 4.105 0.000 0.000 0.000 3.014" Properties=species:S:1:pos:R:3 pbc="T T T"
Cr 0.000 0.000 0.000
Cr 2.053 2.053 0.000
Mo 2.053 0.000 1.507
Co 0.000 2.053 1.507
```


Below is crystalline LaHoPb at its relaxed geometry, with properties calculated at the GGA-PBE level.

For the energy above the lowest structure with this stoichiometry, the calculation gives 191 meV/atom.

```
3
Lattice="-0.884 2.012 -3.600 -2.556 -3.156 -1.137 -2.222 2.938 4.658" Properties=species:S:1:pos:R:3 pbc="T T T"
La -5.211 1.524 -0.339
Pb -2.173 1.305 1.263
Ho -2.755 0.049 -1.767
```


Below is crystalline Th6FeCl15 at its relaxed geometry, with properties calculated at the GGA-PBE level.

The calculation puts the uncorrected formation energy at -1.905 eV/atom.

```
22
Lattice="9.222 0.000 -3.261 -4.611 7.987 -3.261 0.000 0.000 9.782" Properties=species:S:1:pos:R:3 pbc="T T T"
Cl -1.199 6.017 -3.261
Cl 2.306 3.993 -3.261
Cl -3.474 6.017 -0.044
Cl -2.306 3.993 3.261
Cl 1.137 1.970 3.217
Cl 0.000 3.940 0.000
Cl 3.474 6.017 0.044
Cl 1.199 6.017 3.261
Cl -1.137 1.970 6.565
Cl 4.611 4.047 3.261
Cl 4.611 0.000 3.261
Cl 3.412 1.970 0.000
Cl 2.275 0.000 6.565
Cl 5.810 1.970 -3.261
Cl 6.948 0.000 -0.044
Th -1.123 1.946 1.589
Th 3.488 6.041 -4.932
Th -3.488 6.041 4.932
Th 1.123 1.946 -1.589
Th 6.976 0.000 4.932
Th 2.247 0.000 1.589
Fe 0.000 0.000 0.000
```


Below is crystalline AlCr3Si at its relaxed geometry, with properties calculated at the GGA-PBE level.

For the energy above the lowest structure with this stoichiometry, the calculation gives 0 meV/atom. The calculation puts the uncorrected formation energy at 0.727 eV/atom.

```
5
Lattice="-0.674 4.013 -1.598 0.809 -1.472 -4.036 -4.243 -0.917 -0.516" Properties=species:S:1:pos:R:3 pbc="T T T"
Cr -2.122 -0.459 -0.258
Cr 0.404 -0.736 -2.018
Cr -0.337 2.006 -0.799
Si 0.000 0.000 0.000
Al -2.054 0.812 -3.075
```


Below is crystalline Ho6Cd6In at its relaxed geometry, with properties calculated at the GGA-PBE level.

The electronic total energy comes out at -37.66 eV/cell.

```
13
Lattice="6.067 0.000 0.000 -3.033 5.254 0.000 0.000 0.000 10.952" Properties=species:S:1:pos:R:3 pbc="T T T"
Cd -1.516 2.627 2.704
Cd 3.033 0.000 8.248
Cd -1.516 2.627 8.248
Cd 1.517 2.627 8.248
Cd 1.517 2.627 2.704
Cd 3.033 0.000 2.704
Ho 0.000 3.503 0.000
Ho 0.000 0.000 3.752
Ho 0.000 0.000 7.200
Ho 0.000 3.503 5.476
Ho 3.034 1.751 5.476
Ho 3.033 1.751 0.000
In 0.000 0.000 0.000
```


Below is crystalline NiRh2Au at its relaxed geometry, with properties calculated at the GGA-PBE level.

For the energy above the lowest structure with this stoichiometry, the calculation gives 146 meV/atom.

```
4
Lattice="-4.906 -0.692 1.798 -3.694 -1.712 -3.348 4.553 -0.829 2.523" Properties=species:S:1:pos:R:3 pbc="T T T"
Au -4.207 -1.176 -0.758
Rh -2.408 -1.384 1.758
Rh -0.082 -0.023 -0.015
Ni -1.651 -1.852 -0.787
```


Below is crystalline ErCu2Br6 at its relaxed geometry, with properties calculated at the GGA-PBE level.

For the energy above the lowest structure with this stoichiometry, the calculation gives 12 meV/atom. The calculation puts the uncorrected formation energy at -0.964 eV/atom.

```
18
Lattice="6.869 -0.344 -0.333 1.591 9.375 0.628 1.591 0.931 9.350" Properties=species:S:1:pos:R:3 pbc="T T T"
Br 5.463 2.918 4.390
Br 3.011 0.400 1.574
Br 7.041 9.563 8.070
Br 4.489 4.160 8.260
Br 4.589 7.044 5.255
Br 3.607 8.548 9.463
Br 6.445 1.415 0.182
Br 7.924 8.218 3.723
Br 2.128 1.744 5.922
Br 8.023 5.309 6.704
Br 2.029 4.654 2.941
Br 5.563 5.803 1.385
Er 6.743 8.323 1.199
Er 3.309 1.640 8.446
Cu 6.564 4.370 2.966
Cu 3.488 5.593 6.679
Cu 6.923 6.685 5.207
Cu 3.129 3.278 4.438
```


Below is crystalline SrTa2Re at its relaxed geometry, with properties calculated at the GGA-PBE level.

For the energy above the lowest structure with this stoichiometry, the calculation gives 209 meV/atom.

```
4
Lattice="-2.386 -2.125 -3.863 0.676 -1.276 -4.801 1.958 -5.995 0.969" Properties=species:S:1:pos:R:3 pbc="T T T"
Sr 0.099 -2.367 -1.820
Ta 0.143 -6.983 -5.855
Ta 1.726 -5.434 0.720
Re 0.362 -5.305 -3.619
```


Below is crystalline Mg2SeO at its relaxed geometry, with properties calculated at the GGA-PBE level.

For the energy above the lowest structure with this stoichiometry, the calculation gives 0 meV/atom. The calculation puts the uncorrected formation energy at -1.925 eV/atom.

```
8
Lattice="-0.145 -0.452 -4.065 -2.278 -2.907 0.405 -6.433 4.996 -0.326" Properties=species:S:1:pos:R:3 pbc="T T T"
Se -6.983 3.352 -3.013
Se -3.741 -1.222 -0.560
O -6.386 0.833 -0.692
O -4.337 1.297 -2.877
Mg -6.268 0.458 -2.714
Mg -2.702 0.024 -2.794
Mg -4.456 1.672 -0.854
Mg -8.024 2.105 -0.775
```